A geometry-optimized KCoOs structure, computed with PBE.

Lattice parameters (Å, degrees): 6.5037 6.5037 6.5037 156.68 146.17 41.50
Closest atoms and distances in Å follow each position.
Atoms (fractional coordinates):
Co 0.0515 0.0515 0.0000  4 Os 2.43, 2 Co 2.63
K 0.3347 0.3347 0.0000  2 K 2.63
Os 0.6138 0.6138 0.0000  4 Co 2.43, 2 Os 2.63

## Properties
ΔE to the lowest computed polymorph ... 3.69 kcal/mol of atoms
M_tot ... 0.47 μB/f.u.
Density ... 7.91 g cm⁻³
Formation energy from the elements ... 0.757 eV/atom